A plane-wave DFT calculation with PBE-GGA was carried out for a geometry-optimized Sm10DyEr6 structure.

Cell lengths 9.7361, 9.7361, 6.8414 Å; angles 90.00, 90.00, 120.00 degrees
Closest atoms and distances in Å follow each position.
Sites, in units of the cell vectors:
Sm 0.0000 0.2752 0.3154  5 Er 3.36-3.60, 1 Dy 3.44, 2 Sm 3.68
Sm 0.0000 0.7248 0.6846  5 Er 3.36-3.60, 1 Dy 3.44, 2 Sm 3.68
Sm 0.2752 0.0000 0.3154  5 Er 3.36-3.60, 1 Dy 3.44, 2 Sm 3.68
Sm 0.2752 0.2752 0.6846  5 Er 3.36-3.60, 1 Dy 3.44, 2 Sm 3.68
Sm 0.3333 0.6667 0.0000  6 Er 3.34, 2 Sm 3.42
Sm 0.3333 0.6667 0.5000  8 Sm 3.42-3.78, 6 Er 3.73
Sm 0.6667 0.3333 0.0000  6 Er 3.34, 2 Sm 3.42
Sm 0.6667 0.3333 0.5000  8 Sm 3.42-3.78, 6 Er 3.73
Sm 0.7248 0.0000 0.6846  5 Er 3.36-3.60, 1 Dy 3.44, 2 Sm 3.68
Sm 0.7248 0.7248 0.3154  5 Er 3.36-3.60, 1 Dy 3.44, 2 Sm 3.68
Dy 0.0000 0.0000 0.0000  6 Sm 3.44
Er 0.0000 0.3722 0.8076  9 Sm 3.34-3.73, 1 Er 3.62
Er 0.0000 0.6278 0.1924  9 Sm 3.34-3.73, 1 Er 3.62
Er 0.3722 0.0000 0.8076  9 Sm 3.34-3.73, 1 Er 3.62
Er 0.3722 0.3722 0.1924  9 Sm 3.34-3.73, 1 Er 3.62
Er 0.6278 0.0000 0.1924  9 Sm 3.34-3.73, 1 Er 3.62
Er 0.6278 0.6278 0.8076  9 Sm 3.34-3.73, 1 Er 3.62

## Properties
Its density of states at the Fermi level is 1.4102 states/eV per atom. The formation energy comes out at 0.13 eV per atom.